Entry 1:
Entry from Alexandria: a relaxed structure of Nd2PaPb (PBE).

Output
Offset from the most stable computed form, eV/atom: 0.000
E, eV/atom: -5.74
Energy of formation from the pure elements, eV/atom: -0.06
Size of the total moment, μB per cell: 0.00

Cell: 5.0064 5.0064 4.6398 Å, 90.00 90.00 90.00°
Fractional positions:
Nd (0.0000, 0.5000, 0.0000)
Nd (0.5000, 0.0000, 0.0000)
Pa (0.0000, 0.0000, 0.5000)
Pb (0.5000, 0.5000, 0.5000)

---

Entry 2:
Entry from Alexandria: a relaxed structure of NdPaPb2 (PBE).

Output
Offset from the most stable computed form, eV/atom: 0.106
E, eV/atom: -5.49
Energy of formation from the pure elements, eV/atom: -0.07
Size of the total moment, μB per cell: 2.59

Cell: 5.4951 5.4951 5.4951 Å, 60.00 60.00 60.00°
Fractional positions:
Nd (0.0000, 0.0000, 0.0000)
Pa (0.5000, 0.5000, 0.5000)
Pb (0.2500, 0.2500, 0.2500)
Pb (0.7500, 0.7500, 0.7500)

---

Entry 3:
Entry from Alexandria: a relaxed structure of NdPaPb2 (PBE).

Output
Offset from the most stable computed form, eV/atom: 0.040
E, eV/atom: -5.56
Energy of formation from the pure elements, eV/atom: -0.14
Size of the total moment, μB per cell: 1.32

Cell: 5.0644 5.0644 4.4801 Å, 90.00 90.00 90.00°
Fractional positions:
Nd (0.0000, 0.0000, 0.0000)
Pa (0.5000, 0.5000, 0.0000)
Pb (0.0000, 0.5000, 0.5000)
Pb (0.5000, 0.0000, 0.5000)

---

Entry 4:
Entry from Alexandria: a relaxed structure of PmNdPaPb (PBE).

Output
E, eV/atom: -5.53
Energy of formation from the pure elements, eV/atom: 0.15
Size of the total moment, μB per cell: 1.44

Cell: 5.5004 5.5004 5.5004 Å, 60.00 60.00 60.00°
Fractional positions:
Pm (0.0000, 0.0000, 0.0000)
Nd (0.5000, 0.5000, 0.5000)
Pa (0.2500, 0.2500, 0.2500)
Pb (0.7500, 0.7500, 0.7500)

---

Entry 5:
Entry from Alexandria: a relaxed structure of NdPuPaPb (PBE).

Output
E, eV/atom: -7.94
Energy of formation from the pure elements, eV/atom: 0.14
Size of the total moment, μB per cell: 7.10

Cell: 5.3775 5.3775 5.3775 Å, 60.00 60.00 60.00°
Fractional positions:
Nd (0.0000, 0.0000, 0.0000)
Pu (0.5000, 0.5000, 0.5000)
Pa (0.2500, 0.2500, 0.2500)
Pb (0.7500, 0.7500, 0.7500)

---

Entry 6:
Entry from Alexandria: a relaxed structure of NdPaPd6 (PBE).

Output
Offset from the most stable computed form, eV/atom: 0.000
E, eV/atom: -6.48
Energy of formation from the pure elements, eV/atom: -0.81
Size of the total moment, μB per cell: 0.28

Cell: 4.1740 4.1740 8.3558 Å, 90.00 90.00 90.00°
Fractional positions:
Nd (0.0000, 0.0000, 0.0000)
Pa (0.0000, 0.0000, 0.5000)
Pd (0.0000, 0.5000, 0.2604)
Pd (0.0000, 0.5000, 0.7396)
Pd (0.5000, 0.0000, 0.2604)
Pd (0.5000, 0.0000, 0.7396)
Pd (0.5000, 0.5000, 0.0000)
Pd (0.5000, 0.5000, 0.5000)

---

Entry 7:
Entry from Alexandria: a relaxed structure of NdPaPd6 (PBE).

Output
Offset from the most stable computed form, eV/atom: 0.352
E, eV/atom: -6.13
Energy of formation from the pure elements, eV/atom: -0.45
Size of the total moment, μB per cell: 0.00

Cell: 5.6692 5.6692 5.6692 Å, 76.53 76.53 76.53°
Fractional positions:
Nd (0.0000, 0.0000, 0.0000)
Pa (0.5000, 0.5000, 0.5000)
Pd (0.0292, 0.6457, 0.6457)
Pd (0.3543, 0.3543, 0.9708)
Pd (0.3543, 0.9708, 0.3543)
Pd (0.6457, 0.0292, 0.6457)
Pd (0.6457, 0.6457, 0.0292)
Pd (0.9708, 0.3543, 0.3543)

---

Entry 8:
Entry from Alexandria: a relaxed structure of Nd2PaPd9 (PBE).

Output
E, eV/atom: -6.30
Energy of formation from the pure elements, eV/atom: -0.82
Size of the total moment, μB per cell: 0.00

Cell: 4.1783 4.1783 12.5596 Å, 90.00 90.00 90.00°
Fractional positions:
Nd (0.0000, 0.0000, 0.1639)
Nd (0.0000, 0.0000, 0.8361)
Pa (0.0000, 0.0000, 0.5000)
Pd (0.0000, 0.5000, 0.0000)
Pd (0.0000, 0.5000, 0.3428)
Pd (0.0000, 0.5000, 0.6572)
Pd (0.5000, 0.0000, 0.0000)
Pd (0.5000, 0.0000, 0.3428)
Pd (0.5000, 0.0000, 0.6572)
Pd (0.5000, 0.5000, 0.1710)
Pd (0.5000, 0.5000, 0.5000)
Pd (0.5000, 0.5000, 0.8290)

---

Entry 9:
Entry from Alexandria: a relaxed structure of Nd2Pa2Pd15 (PBE).

Output
E, eV/atom: -6.13
Energy of formation from the pure elements, eV/atom: -0.53
Size of the total moment, μB per cell: 0.50

Cell: 7.1444 7.1444 7.1444 Å, 80.88 80.88 80.88°
Fractional positions:
Nd (0.1399, 0.1399, 0.1399)
Nd (0.8601, 0.8601, 0.8601)
Pa (0.3952, 0.3952, 0.3952)
Pa (0.6048, 0.6048, 0.6048)
Pd (0.0000, 0.5000, 0.5000)
Pd (0.1556, 0.1556, 0.6568)
Pd (0.1556, 0.6568, 0.1556)
Pd (0.1928, 0.5000, 0.8072)
Pd (0.1928, 0.8072, 0.5000)
Pd (0.3432, 0.8444, 0.8444)
Pd (0.5000, 0.0000, 0.5000)
Pd (0.5000, 0.1928, 0.8072)
Pd (0.5000, 0.5000, 0.0000)
Pd (0.5000, 0.8072, 0.1928)
Pd (0.6568, 0.1556, 0.1556)
Pd (0.8072, 0.1928, 0.5000)
Pd (0.8072, 0.5000, 0.1928)
Pd (0.8444, 0.3432, 0.8444)
Pd (0.8444, 0.8444, 0.3432)

---

Entry 10:
Entry from Alexandria: a relaxed structure of NdPaPd4 (PBE).

Output
E, eV/atom: -6.40
Energy of formation from the pure elements, eV/atom: -0.56
Size of the total moment, μB per cell: 1.39

Cell: 5.4818 5.4818 5.4818 Å, 60.00 60.00 60.00°
Fractional positions:
Nd (0.0000, 0.0000, 0.0000)
Pa (0.7500, 0.7500, 0.7500)
Pd (0.3754, 0.3754, 0.3754)
Pd (0.3754, 0.3754, 0.8738)
Pd (0.3754, 0.8738, 0.3754)
Pd (0.8738, 0.3754, 0.3754)

---

Entry 11:
Entry from Alexandria: a relaxed structure of NdPa2Pd9 (PBE).

Output
E, eV/atom: -6.63
Energy of formation from the pure elements, eV/atom: -0.76
Size of the total moment, μB per cell: 1.26

Cell: 4.1759 4.1759 12.5141 Å, 90.00 90.00 90.00°
Fractional positions:
Nd (0.0000, 0.0000, 0.0000)
Pa (0.0000, 0.0000, 0.3329)
Pa (0.0000, 0.0000, 0.6671)
Pd (0.0000, 0.5000, 0.1734)
Pd (0.0000, 0.5000, 0.5000)
Pd (0.0000, 0.5000, 0.8266)
Pd (0.5000, 0.0000, 0.1734)
Pd (0.5000, 0.0000, 0.5000)
Pd (0.5000, 0.0000, 0.8266)
Pd (0.5000, 0.5000, 0.0000)
Pd (0.5000, 0.5000, 0.3358)
Pd (0.5000, 0.5000, 0.6642)

---

Entry 12:
Entry from Alexandria: a relaxed structure of Nd3PaPd12 (PBE).

Output
E, eV/atom: -6.19
Energy of formation from the pure elements, eV/atom: -0.81
Size of the total moment, μB per cell: 0.00

Cell: 4.1889 4.1889 16.7174 Å, 90.00 90.00 90.00°
Fractional positions:
Nd (0.0000, 0.0000, 0.0000)
Nd (0.0000, 0.0000, 0.2472)
Nd (0.0000, 0.0000, 0.7528)
Pa (0.0000, 0.0000, 0.5000)
Pd (0.0000, 0.5000, 0.1264)
Pd (0.0000, 0.5000, 0.3826)
Pd (0.0000, 0.5000, 0.6174)
Pd (0.0000, 0.5000, 0.8736)
Pd (0.5000, 0.0000, 0.1264)
Pd (0.5000, 0.0000, 0.3826)
Pd (0.5000, 0.0000, 0.6174)
Pd (0.5000, 0.0000, 0.8736)
Pd (0.5000, 0.5000, 0.0000)
Pd (0.5000, 0.5000, 0.2545)
Pd (0.5000, 0.5000, 0.5000)
Pd (0.5000, 0.5000, 0.7455)